Record 1
# LiCrHgO4 | Alexandria via LeMat-Bulk | PBE+U | relaxed
# **Energy**: -0.197 Ha/atom
# **Total moment**: 0.00 μB/cell
# **Space-group type**: P2_1/m (11)
# **Density of states at the Fermi level**: 1.3 states/eV/f.u.
data_LiCrHgO4
_chemical_formula_sum 'Li2 Cr2 Hg2 O8'
_symmetry_space_group_name_H-M 'P 1'
_symmetry_Int_Tables_number 1
_cell_length_a 6.118
_cell_length_b 5.854
_cell_length_c 7.553
_cell_angle_alpha 90.00
_cell_angle_beta 125.67
_cell_angle_gamma 90.00
loop_
_symmetry_equiv_pos_as_xyz
'x,y,z'
loop_
_atom_site_label
_atom_site_fract_x
_atom_site_fract_y
_atom_site_fract_z
Hg1 0.404 0.750 0.947
O1 0.983 0.487 0.736
Cr1 0.204 0.750 0.351
O2 0.414 0.750 0.623
Li1 0.739 0.750 0.604
O3 0.586 0.250 0.377
O4 0.017 0.987 0.264
O5 0.983 0.013 0.736
Hg2 0.596 0.250 0.053
O6 0.415 0.750 0.279
Li2 0.261 0.250 0.396
O7 0.017 0.513 0.264
O8 0.585 0.250 0.721
Cr2 0.796 0.250 0.649



Record 2
# Mn2AgO | Alexandria via LeMat-Bulk | PBE+U | relaxed
# **Energy**: -0.225 Ha/atom
# **Total moment**: 19.04 μB/cell
# **Space-group type**: I-42d (122)
# **Density of states at the Fermi level**: 1.7 states/eV/f.u.
data_Mn2AgO
_chemical_formula_sum 'Mn4 Ag2 O2'
_symmetry_space_group_name_H-M 'P 1'
_symmetry_Int_Tables_number 1
_cell_length_a 6.322
_cell_length_b 6.322
_cell_length_c 5.674
_cell_angle_alpha 56.15
_cell_angle_beta 56.15
_cell_angle_gamma 90.00
loop_
_symmetry_equiv_pos_as_xyz
'x,y,z'
loop_
_atom_site_label
_atom_site_fract_x
_atom_site_fract_y
_atom_site_fract_z
Mn1 0.216 0.625 0.250
O1 0.500 0.500 0.000
O2 0.250 0.750 0.500
Ag1 0.000 0.000 0.000
Mn2 0.375 0.466 0.750
Mn3 0.534 0.125 0.250
Ag2 0.750 0.250 0.500
Mn4 0.875 0.784 0.750



> Which of these has the highest energy?

LiCrHgO4